1.
IrPd2F (meta-GGA SCAN, single point on PBEsol structure); final energy = -34.74 eV per atom; V = 57 Å³/f.u.; total magnetization = 0.000 μB/cell
1.0
-3.769 -2.341 2.908
-0.753 -0.034 -5.251
4.466 -2.723 0.881
Ir F Pd
2 2 4
Direct
0.250 0.750 0.500 Ir
0.000 0.000 0.000 Ir
0.500 0.500 0.000 F
0.750 0.250 0.500 F
0.625 0.594 0.469 Pd
0.125 0.156 0.531 Pd
0.406 0.875 0.031 Pd
0.844 0.375 0.969 Pd

***

2.
SbIr2PdF (meta-GGA SCAN, single point on PBEsol structure); final energy = -42.39 eV per atom; V = 94 Å³/f.u.; total magnetization = 0.994 μB/cell
1.0
-0.852 -3.709 -1.223
4.481 -0.435 -1.802
1.539 -1.755 4.251
Ir F Sb Pd
2 1 1 1
Direct
0.000 0.000 0.500 Ir
0.000 0.500 0.000 Ir
0.500 0.000 0.000 F
0.000 0.000 0.000 Sb
0.500 0.500 0.500 Pd

***

3.
ZnIrPdF2 (meta-GGA SCAN, single point on PBEsol structure); final energy = -25.29 eV per atom; V = 78 Å³/f.u.; total magnetization = 2.357 μB/cell
1.0
3.715 0.000 0.000
0.000 3.715 0.000
0.000 0.000 5.642
Zn F Ir Pd
1 2 1 1
Direct
0.000 0.000 0.000 Zn
0.000 0.500 0.000 F
0.500 0.000 0.000 F
0.500 0.500 0.500 Ir
0.000 0.000 0.500 Pd

***

4.
Rb2IrF6 (meta-GGA SCAN, single point on PBEsol structure); final energy = -17.25 eV per atom; V = 145 Å³/f.u.; total magnetization = 1.037 μB/cell
1.0
-0.450 0.967 4.642
4.307 -3.882 1.226
1.338 5.677 -1.053
F Rb Ir
6 2 1
Direct
0.277 0.160 0.840 F
0.277 0.160 0.319 F
0.723 0.840 0.681 F
0.723 0.840 0.160 F
0.723 0.319 0.160 F
0.277 0.681 0.840 F
0.212 0.667 0.333 Rb
0.788 0.333 0.667 Rb
0.500 0.000 0.000 Ir

***

5.
RbSn2IrF (meta-GGA SCAN, single point on PBEsol structure); final energy = -33.89 eV per atom; V = 228 Å³/f.u.; total magnetization = 0.037 μB/cell
1.0
4.893 0.000 0.000
0.000 4.893 0.000
0.000 0.000 9.501
Ir Rb F Sn
1 1 1 2
Direct
0.000 0.000 0.000 Ir
0.500 0.500 0.500 Rb
0.000 0.000 0.500 F
0.000 0.500 0.000 Sn
0.500 0.000 0.000 Sn

***

6.
Rb2TlIrF6 (meta-GGA SCAN, single point on PBEsol structure); final energy = -22.81 eV per atom; V = 189 Å³/f.u.; total magnetization = 0.177 μB/cell
1.0
-4.652 -2.685 -3.555
-1.564 -6.186 0.883
-5.638 -1.542 2.707
Rb F Ir Tl
2 6 1 1
Direct
0.250 0.250 0.250 Rb
0.750 0.750 0.750 Rb
0.779 0.779 0.221 F
0.221 0.779 0.779 F
0.221 0.779 0.221 F
0.779 0.221 0.221 F
0.221 0.221 0.779 F
0.779 0.221 0.779 F
0.000 0.000 0.000 Ir
0.500 0.500 0.500 Tl

***

7.
Ir3RuF (meta-GGA SCAN, single point on PBEsol structure); final energy = -48.68 eV per atom; V = 71 Å³/f.u.; total magnetization = 0.000 μB/cell
1.0
-3.248 0.948 -2.383
-2.554 -0.853 3.142
0.228 3.937 1.255
Ir Ru F
3 1 1
Direct
0.000 0.500 0.000 Ir
0.000 0.000 0.500 Ir
0.500 0.000 0.000 Ir
0.500 0.500 0.500 Ru
0.000 0.000 0.000 F

***

8.
Sb3IrF (meta-GGA SCAN, single point on PBEsol structure); final energy = -36.78 eV per atom; V = 102 Å³/f.u.; total magnetization = 0.000 μB/cell
1.0
4.680 0.000 0.000
0.000 4.680 0.000
0.000 0.000 4.680
Sb Ir F
3 1 1
Direct
0.000 0.500 0.000 Sb
0.500 0.000 0.000 Sb
0.000 0.000 0.500 Sb
0.500 0.500 0.500 Ir
0.000 0.000 0.000 F

***

9.
ScZnIr2F (meta-GGA SCAN, single point on PBEsol structure); final energy = -33.36 eV per atom; V = 112 Å³/f.u.; total magnetization = 2.187 μB/cell
1.0
-4.610 -0.461 0.005
0.456 -4.564 -0.654
0.079 -0.729 5.147
Zn F Sc Ir
1 1 1 2
Direct
0.000 0.000 0.500 Zn
0.500 0.500 0.500 F
0.000 0.000 0.000 Sc
0.000 0.500 0.000 Ir
0.500 0.000 0.000 Ir

***

10.
Ir2SeF (meta-GGA SCAN, single point on PBEsol structure); final energy = -41.18 eV per atom; V = 57 Å³/f.u.; total magnetization = 0.000 μB/cell
1.0
-1.058 -2.898 4.329
-2.831 -1.279 -4.313
5.105 -0.858 -1.208
Ir F Se
4 2 2
Direct
0.125 0.126 0.501 Ir
0.376 0.875 0.001 Ir
0.625 0.624 0.499 Ir
0.874 0.375 0.999 Ir
0.500 0.500 0.000 F
0.750 0.250 0.500 F
0.250 0.750 0.500 Se
0.000 0.000 0.000 Se

***

11.
Ir3SeF (meta-GGA SCAN, single point on PBEsol structure); final energy = -45.79 eV per atom; V = 93 Å³/f.u.; total magnetization = 0.898 μB/cell
1.0
4.534 0.000 0.000
0.000 4.534 0.000
0.000 0.000 4.534
F Ir Se
1 3 1
Direct
0.500 0.500 0.500 F
0.000 0.500 0.000 Ir
0.000 0.000 0.500 Ir
0.500 0.000 0.000 Ir
0.000 0.000 0.000 Se

***

12.
TaTcIr2F (meta-GGA SCAN, single point on PBEsol structure); final energy = -47.77 eV per atom; V = 108 Å³/f.u.; total magnetization = 4.436 μB/cell
1.0
4.705 0.000 0.000
0.000 4.705 0.000
0.000 0.000 4.891
Ta Ir F Tc
1 2 1 1
Direct
0.000 0.000 0.000 Ta
0.500 0.000 0.000 Ir
0.000 0.500 0.000 Ir
0.500 0.500 0.500 F
0.000 0.000 0.500 Tc

***

13.
TcIrF3 (meta-GGA SCAN, single point on PBEsol structure); final energy = -23.35 eV per atom; V = 74 Å³/f.u.; total magnetization = 4.487 μB/cell
1.0
-2.828 2.361 -2.017
-3.099 -2.318 1.631
-0.196 2.586 3.303
Ir Tc F
1 1 3
Direct
0.000 0.000 0.000 Ir
0.500 0.500 0.500 Tc
0.000 0.000 0.500 F
0.500 0.000 0.000 F
0.000 0.500 0.000 F

***

14.
ZrTc2IrF (meta-GGA SCAN, single point on PBEsol structure); final energy = -34.23 eV per atom; V = 86 Å³/f.u.; total magnetization = 0.022 μB/cell
1.0
3.857 0.000 0.000
0.000 4.718 0.000
0.000 0.000 4.718
Ir Zr Tc F
1 1 2 1
Direct
0.500 0.500 0.500 Ir
0.000 0.000 0.000 Zr
0.000 0.000 0.500 Tc
0.000 0.500 0.000 Tc
0.500 0.000 0.000 F

***

15.
TeIrF2 (meta-GGA SCAN, single point on PBEsol structure); final energy = -28.65 eV per atom; V = 56 Å³/f.u.; total magnetization = 1.562 μB/cell
1.0
4.295 0.000 0.000
2.147 3.719 0.000
2.147 1.240 3.506
F Te Ir
2 1 1
Direct
0.750 0.750 0.750 F
0.250 0.250 0.250 F
0.000 0.000 0.000 Te
0.500 0.500 0.500 Ir

***

16.
Te3IrF (meta-GGA SCAN, single point on PBEsol structure); final energy = -36.94 eV per atom; V = 138 Å³/f.u.; total magnetization = 0.000 μB/cell
1.0
5.165 0.000 0.000
0.000 5.165 0.000
0.000 0.000 5.165
Te F Ir
3 1 1
Direct
0.000 0.500 0.000 Te
0.500 0.000 0.000 Te
0.000 0.000 0.500 Te
0.500 0.500 0.500 F
0.000 0.000 0.000 Ir

***

17.
TlIrF2 (meta-GGA SCAN, single point on PBEsol structure); final energy = -38.16 eV per atom; V = 64 Å³/f.u.; total magnetization = 0.201 μB/cell
1.0
-0.329 5.087 -1.547
-5.013 2.071 -1.299
-0.803 3.919 3.885
F Ir Tl
4 2 2
Direct
0.213 0.912 0.412 F
0.875 0.588 0.912 F
0.537 0.088 0.588 F
0.375 0.412 0.088 F
0.500 0.000 0.000 Ir
0.250 0.500 0.500 Ir
0.000 0.000 0.000 Tl
0.750 0.500 0.500 Tl

***

18.
YIrF2 (meta-GGA SCAN, single point on PBEsol structure); final energy = -28.01 eV per atom; V = 55 Å³/f.u.; total magnetization = 0.000 μB/cell
1.0
-0.164 -0.363 2.901
0.769 -2.557 1.202
7.189 1.456 2.066
F Ir Y
2 1 1
Direct
0.094 0.094 0.719 F
0.906 0.906 0.281 F
0.000 0.000 0.000 Ir
0.500 0.500 0.500 Y

***

19.
ZnIrF2 (meta-GGA SCAN, single point on PBEsol structure); final energy = -23.38 eV per atom; V = 51 Å³/f.u.; total magnetization = 1.394 μB/cell
1.0
-0.452 -2.330 1.260
0.972 -2.289 -1.018
6.983 -0.549 4.353
F Zn Ir
2 1 1
Direct
0.924 0.924 0.228 F
0.076 0.076 0.772 F
0.000 0.000 0.000 Zn
0.500 0.500 0.500 Ir

***

20.
ZrIr2F2 (meta-GGA SCAN, single point on PBEsol structure); final energy = -36.84 eV per atom; V = 71 Å³/f.u.; total magnetization = 2.003 μB/cell
1.0
3.507 0.000 0.000
0.000 3.507 0.000
-1.753 -1.753 5.767
F Ir Zr
2 2 1
Direct
0.750 0.250 0.500 F
0.250 0.750 0.500 F
0.392 0.392 0.784 Ir
0.608 0.608 0.216 Ir
0.000 0.000 0.000 Zr

***

21.
ZrIrF2 (meta-GGA SCAN, single point on PBEsol structure); final energy = -28.73 eV per atom; V = 64 Å³/f.u.; total magnetization = 1.310 μB/cell
1.0
2.746 0.000 0.000
1.373 2.378 0.000
1.373 0.793 9.811
F Ir Zr
2 1 1
Direct
0.885 0.885 0.346 F
0.115 0.115 0.654 F
0.000 0.000 0.000 Ir
0.500 0.500 0.500 Zr

***

22.
KF (meta-GGA SCAN, single point on PBEsol structure); final energy = -8.84 eV per atom; V = 37 Å³/f.u.; total magnetization = 0.070 μB/cell
1.0
-2.279 -2.144 2.063
1.127 -1.251 3.349
-1.541 1.373 3.129
F K
1 1
Direct
0.500 0.500 0.500 F
0.000 0.000 0.000 K

***

23.
KLa2F (meta-GGA SCAN, single point on PBEsol structure); final energy = -24.54 eV per atom; V = 121 Å³/f.u.; total magnetization = 0.000 μB/cell
1.0
-3.971 3.366 -1.930
-3.219 -1.637 -4.217
-5.343 -1.212 0.895
La K F
2 1 1
Direct
0.250 0.250 0.250 La
0.750 0.750 0.750 La
0.500 0.500 0.500 K
0.000 0.000 0.000 F

***

24.
KLaOF2 (meta-GGA SCAN, single point on PBEsol structure); final energy = -15.23 eV per atom; V = 88 Å³/f.u.; total magnetization = 0.005 μB/cell
1.0
4.302 0.000 0.000
0.000 4.302 0.000
0.000 0.000 4.764
La O F K
1 1 2 1
Direct
0.500 0.500 0.500 La
0.000 0.000 0.500 O
0.500 0.000 0.000 F
0.000 0.500 0.000 F
0.000 0.000 0.000 K

***

25.
KLiF2 (meta-GGA SCAN, single point on PBEsol structure); final energy = -7.08 eV per atom; V = 52 Å³/f.u.; total magnetization = 0.001 μB/cell
1.0
4.181 0.000 0.000
2.091 3.621 0.000
2.091 1.207 3.414
Li K F
1 1 2
Direct
0.000 0.000 0.000 Li
0.500 0.500 0.500 K
0.750 0.750 0.750 F
0.250 0.250 0.250 F

***

26.
KLiF2 (meta-GGA SCAN, single point on PBEsol structure); final energy = -7.43 eV per atom; V = 55 Å³/f.u.; total magnetization = 0.113 μB/cell
1.0
5.284 0.049 -0.075
-2.267 4.773 0.075
2.267 1.937 4.363
K F Li
2 4 2
Direct
0.000 0.000 0.000 K
0.500 0.250 0.250 K
0.900 0.775 0.625 F
0.100 0.475 0.125 F
0.600 0.125 0.775 F
0.400 0.625 0.475 F
0.000 0.500 0.500 Li
0.500 0.750 0.750 Li

***

27.
K2LiNbF6 (meta-GGA SCAN, single point on PBEsol structure); final energy = -10.34 eV per atom; V = 139 Å³/f.u.; total magnetization = 2.000 μB/cell
1.0
5.808 0.000 0.000
2.904 5.030 0.000
2.904 1.677 4.742
K F Li Nb
2 6 1 1
Direct
0.250 0.250 0.250 K
0.750 0.750 0.750 K
0.254 0.746 0.254 F
0.254 0.746 0.746 F
0.746 0.254 0.746 F
0.746 0.254 0.254 F
0.254 0.254 0.746 F
0.746 0.746 0.254 F
0.500 0.500 0.500 Li
0.000 0.000 0.000 Nb

***

28.
K2LiNiF6 (meta-GGA SCAN, single point on PBEsol structure); final energy = -8.36 eV per atom; V = 121 Å³/f.u.; total magnetization = 1.000 μB/cell
1.0
-5.414 -1.235 -0.185
-2.161 -3.576 3.663
-3.405 1.829 3.992
F Li K Ni
6 1 2 1
Direct
0.739 0.261 0.739 F
0.261 0.739 0.261 F
0.261 0.739 0.739 F
0.739 0.739 0.261 F
0.261 0.261 0.739 F
0.739 0.261 0.261 F
0.000 0.000 0.000 Li
0.750 0.750 0.750 K
0.250 0.250 0.250 K
0.500 0.500 0.500 Ni